Tm2ScHg8 | PBE-GGA | optimized geometry

Cell lengths 8.2396, 8.2396, 7.1249 Å; angles 108.56, 108.56, 34.46 degrees
With the nearest neighbours (Å) after each atom.
Sites, in units of the cell vectors:
Tm: 0.2149 0.2149 0.1581  10 Hg 3.09-3.26
Tm: 0.7851 0.7851 0.8419  10 Hg 3.09-3.26
Sc: 0.5000 0.5000 0.5000  8 Hg 2.94-3.20
Hg: 0.0285 0.0285 0.2360  7 Hg 3.07-3.22, 1 Tm 3.16, 2 Sc 3.20
Hg: 0.1515 0.1515 0.6841  7 Hg 3.07-3.33, 3 Tm 3.17-3.19, 2 Sc 3.36
Hg: 0.3335 0.3335 0.6022  1 Sc 2.94, 6 Hg 3.05-3.24, 3 Tm 3.09-3.21
Hg: 0.4021 0.4021 0.0567  1 Sc 3.02, 5 Hg 3.05-3.33, 3 Tm 3.13-3.26
Hg: 0.5979 0.5979 0.9433  1 Sc 3.02, 5 Hg 3.05-3.33, 3 Tm 3.13-3.26
Hg: 0.6665 0.6665 0.3978  1 Sc 2.94, 6 Hg 3.05-3.24, 3 Tm 3.09-3.21
Hg: 0.8485 0.8485 0.3159  7 Hg 3.07-3.33, 3 Tm 3.17-3.19, 2 Sc 3.36
Hg: 0.9715 0.9715 0.7640  7 Hg 3.07-3.22, 1 Tm 3.16, 2 Sc 3.20

Values from the calculation:
V = 23.46 Å³/atom
DOS(E_F) = 5.60 states/eV/cell
Spin magnetization = 0.00 μB per formula unit
Formation enthalpy at 0 K = -252 meV per atom